A plane-wave DFT calculation with GGA-PBEsol was carried out for a geometry-optimized TlFe2Ag structure.

- excess energy over the best structure of this formula in the dataset (meV/atom) = 170

The structure in CIF format:
```
data_TlFe2Ag
_chemical_formula_sum 'Tl2 Fe4 Ag2'
_symmetry_space_group_name_H-M 'C m m m'
_symmetry_Int_Tables_number 65
_symmetry_space_group_name_Hall '-C 2 2'
_cell_length_a 5.5451
_cell_length_b 7.7682
_cell_length_c 2.8668
_cell_angle_alpha 90.00
_cell_angle_beta 90.00
_cell_angle_gamma 90.00
loop_
_atom_site_label
_atom_site_type_symbol
_atom_site_fract_x
_atom_site_fract_y
_atom_site_fract_z
Tl1 Tl 0.0000 0.0000 0.0000
Fe1 Fe 0.2500 0.2500 0.5000
Ag1 Ag 0.0000 0.5000 0.0000
```


A plane-wave DFT calculation with GGA-PBEsol was carried out for a geometry-optimized La3In structure.

- excess energy over the best structure of this formula in the dataset (meV/atom) = 0

The structure in CIF format:
```
data_La3In
_chemical_formula_sum 'La3 In1'
_symmetry_space_group_name_H-M 'P m -3 m'
_symmetry_Int_Tables_number 221
_symmetry_space_group_name_Hall '-P 4 2 3'
_cell_length_a 4.9601
_cell_length_b 4.9601
_cell_length_c 4.9601
_cell_angle_alpha 90.00
_cell_angle_beta 90.00
_cell_angle_gamma 90.00
loop_
_atom_site_label
_atom_site_type_symbol
_atom_site_fract_x
_atom_site_fract_y
_atom_site_fract_z
La1 La 0.0000 0.0000 0.5000
In1 In 0.5000 0.5000 0.5000
```


A plane-wave DFT calculation with GGA-PBEsol was carried out for a geometry-optimized K4Re2Cl10O structure.

- raw formation energy (eV per atom) = -1.3479

The structure in CIF format:
```
data_K4Re2Cl10O
_chemical_formula_sum 'K8 Re4 Cl20 O2'
_symmetry_space_group_name_H-M 'I 4/m m m'
_symmetry_Int_Tables_number 139
_symmetry_space_group_name_Hall '-I 4 2'
_cell_length_a 6.9952
_cell_length_b 6.9952
_cell_length_c 17.6218
_cell_angle_alpha 90.00
_cell_angle_beta 90.00
_cell_angle_gamma 90.00
loop_
_atom_site_label
_atom_site_type_symbol
_atom_site_fract_x
_atom_site_fract_y
_atom_site_fract_z
K1 K 0.0000 0.5000 0.0000
K2 K 0.0000 0.5000 0.2500
Re1 Re 0.0000 0.0000 0.1043
Cl1 Cl 0.0000 0.0000 0.2396
Cl2 Cl 0.2397 0.2397 0.1118
O1 O 0.0000 0.0000 0.0000
```


Number 1: total energy -5.42 eV/atom. Number 2: total energy -5.08 eV/atom. Number 3: total energy -4.67 eV/atom.